i | Entry from Alexandria: PtSeBr2O after structural relaxation (PBE-GGA).

SG   P4/mmm (123)

a = 5.1791 Å, b = 5.1791 Å, c = 4.7801 Å
α = 90.00°, β = 90.00°, γ = 90.00°
With the nearest neighbours (Å) after each atom.
Atoms (fractional coordinates):
1 O 0.5000 0.5000 0.5000  8 Br 3.52, 4 Se 3.66
2 Se 0.0000 0.0000 0.5000  2 Pt 2.39
3 Br 0.0000 0.5000 0.0000  2 Pt 2.59
4 Br 0.5000 0.0000 0.0000  2 Pt 2.59
5 Pt 0.0000 0.0000 0.0000  2 Se 2.39, 4 Br 2.59

---

ii | Entry from Alexandria: PtSeBr2O after structural relaxation (PBE-GGA).

SG   P4/mmm (123)

a = 4.7883 Å, b = 4.7883 Å, c = 4.2413 Å
α = 90.00°, β = 90.00°, γ = 90.00°
With the nearest neighbours (Å) after each atom.
Atoms (fractional coordinates):
1 O 0.0000 0.0000 0.0000  2 Se 2.12
2 Se 0.0000 0.0000 0.5000  2 O 2.12
3 Br 0.0000 0.5000 0.0000  2 O 2.39
4 Br 0.5000 0.0000 0.0000  2 O 2.39
5 Pt 0.5000 0.5000 0.5000  8 Br 3.20, 4 Se 3.39

---

Most stable pick: i. Distance to second place: 0.078 eV/atom.

---

i | Entry from Alexandria: PuBrO2 after structural relaxation (PBE-GGA).

SG   R-3m (166)

a = 3.5773 Å, b = 3.5773 Å, c = 7.2975 Å
α = 75.81°, β = 75.81°, γ = 60.00°
With the nearest neighbours (Å) after each atom.
Atoms (fractional coordinates):
1 O 0.7044 0.7044 0.8867  3 Pu 2.21
2 O 0.2956 0.2956 0.1133  3 Pu 2.21
3 Br 0.5000 0.5000 0.5000  6 O 3.40, 6 Br 3.58
4 Pu 0.0000 0.0000 0.0000  6 O 2.21

---

ii | Entry from Alexandria: PuBrO2 after structural relaxation (PBE-GGA).

SG   Cmcm (63)

a = 3.4017 Å, b = 5.8636 Å, c = 7.6454 Å
α = 90.00°, β = 90.00°, γ = 106.86°
With the nearest neighbours (Å) after each atom.
Atoms (fractional coordinates):
1 Pu 0.8037 0.6075 0.7500  4 O 2.10
2 Pu 0.1963 0.3925 0.2500  4 O 2.10
3 Br 0.9394 0.8788 0.2500  3 Pu 2.88-3.22, 2 O 3.16
4 Br 0.0606 0.1212 0.7500  3 Pu 2.88-3.22, 2 O 3.16
5 O 0.3206 0.6413 0.5904  2 Pu 2.10
6 O 0.6794 0.3587 0.4096  2 Pu 2.10
7 O 0.3206 0.6413 0.9096  2 Pu 2.10
8 O 0.6794 0.3587 0.0904  2 Pu 2.10

---

Most stable pick: ii. Distance to second place: 0.009 eV/atom.

---

i | Entry from Alexandria: Pu2Br2O after structural relaxation (PBE-GGA).

SG   P4/mmm (123)

a = 3.6990 Å, b = 3.6990 Å, c = 13.5888 Å
α = 90.00°, β = 90.00°, γ = 90.00°
With the nearest neighbours (Å) after each atom.
Atoms (fractional coordinates):
1 Pu 0.5000 0.5000 0.1515  1 O 2.06
2 Pu 0.5000 0.5000 0.8485  1 O 2.06
3 Br 0.5000 0.5000 0.6534  1 Pu 2.65
4 Br 0.5000 0.5000 0.3466  1 Pu 2.65
5 O 0.5000 0.5000 0.0000  2 Pu 2.06

---

ii | Entry from Alexandria: Pu2Br2O after structural relaxation (PBE-GGA).

SG   Cmc2_1 (36)

a = 3.7301 Å, b = 6.8346 Å, c = 10.1887 Å
α = 90.00°, β = 100.55°, γ = 90.00°
With the nearest neighbours (Å) after each atom.
Atoms (fractional coordinates):
1 Pu 0.4141 0.3811 0.8281  1 O 2.18
2 Pu 0.8370 0.9413 0.6740  2 O 2.23
3 Pu 0.1630 0.4413 0.3260  2 O 2.23
4 Pu 0.5859 0.8811 0.1719  1 O 2.18
5 Br 0.9694 0.7258 0.9388  5 Pu 3.03-3.20
6 Br 0.7949 0.4998 0.5899  5 Pu 3.13-3.26, 1 O 3.40
7 Br 0.2051 0.9998 0.4101  5 Pu 3.13-3.26, 1 O 3.40
8 Br 0.0306 0.2258 0.0612  5 Pu 3.03-3.20
9 O 0.3723 0.0864 0.7446  3 Pu 2.18-2.23
10 O 0.6277 0.5864 0.2554  3 Pu 2.18-2.23

---

Most stable pick: ii. Distance to second place: 0.781 eV/atom.

---

i | Entry from Alexandria: RbBrO2 after structural relaxation (PBE-GGA).

SG   Fm-3m (225)

a = 4.9163 Å, b = 4.9163 Å, c = 4.9163 Å
α = 60.00°, β = 60.00°, γ = 60.00°
With the nearest neighbours (Å) after each atom.
Atoms (fractional coordinates):
1 O 0.2500 0.2500 0.2500  4 Br 3.01, 4 Rb 3.01
2 O 0.7500 0.7500 0.7500  4 Br 3.01, 4 Rb 3.01
3 Br 0.0000 0.0000 0.0000  8 O 3.01
4 Rb 0.5000 0.5000 0.5000  8 O 3.01

---

ii | Entry from Alexandria: RbBrO2 after structural relaxation (PBE-GGA).

SG   I-42d (122)

a = 5.4120 Å, b = 5.4120 Å, c = 7.1910 Å
α = 67.90°, β = 67.90°, γ = 90.00°
With the nearest neighbours (Å) after each atom.
Atoms (fractional coordinates):
1 O 0.4812 0.1250 0.2500  2 Br 2.12
2 O 0.2688 0.6250 0.2500  2 Br 2.12
3 O 0.3750 0.5188 0.7500  2 Br 2.12
4 O 0.8750 0.7312 0.7500  2 Br 2.12
5 Br 0.5000 0.5000 0.0000  4 O 2.12
6 Br 0.2500 0.7500 0.5000  4 O 2.12
7 Rb 0.0000 0.0000 0.0000  4 O 2.95
8 Rb 0.7500 0.2500 0.5000  4 O 2.95

---

iii | Entry from Alexandria: RbBrO2 after structural relaxation (PBE-GGA).

SG   P2/m (10)

a = 4.7685 Å, b = 4.8327 Å, c = 5.9417 Å
α = 90.00°, β = 90.00°, γ = 90.27°
With the nearest neighbours (Å) after each atom.
Atoms (fractional coordinates):
1 Rb 0.7500 0.7500 0.5000  4 Br 3.39-3.40, 4 O 3.52
2 Br 0.2500 0.2500 0.5000  4 Rb 3.39-3.40, 4 O 3.67
3 O 0.1401 0.8174 0.0000  1 O 1.24
4 O 0.3599 0.6826 0.0000  1 O 1.24

---

iv | Entry from Alexandria: RbBrO2 after structural relaxation (PBE-GGA).

SG   R-3m (166)

a = 7.6384 Å, b = 7.6384 Å, c = 7.6384 Å
α = 27.57°, β = 27.57°, γ = 27.57°
With the nearest neighbours (Å) after each atom.
Atoms (fractional coordinates):
1 O 0.9168 0.9168 0.9168  1 Br 1.83
2 O 0.0832 0.0832 0.0832  1 Br 1.83
3 Br 0.0000 0.0000 0.0000  2 O 1.83
4 Rb 0.5000 0.5000 0.5000  6 O 2.79

---

Most stable pick: iii. Distance to second place: 0.503 eV/atom.

---

i | Entry from Alexandria: Rb4BrO after structural relaxation (PBE-GGA).

SG   P2/m (10)

a = 4.4532 Å, b = 7.7348 Å, c = 7.7538 Å
α = 89.76°, β = 89.96°, γ = 89.96°
With the nearest neighbours (Å) after each atom.
Atoms (fractional coordinates):
1 Rb 0.5020 0.8304 0.3278  2 O 2.89-2.90
2 Rb 0.5006 0.1641 0.6685  2 O 2.89-2.90
3 Rb 0.0012 0.7385 0.7511  1 O 2.80
4 Rb 0.0013 0.2560 0.2451  1 O 2.80
5 Br 0.5013 0.4973 0.9982  6 Rb 3.48-3.64
6 O 0.0015 0.9973 0.4981  6 Rb 2.80-2.90

---

ii | Entry from Alexandria: Rb4BrO after structural relaxation (PBE-GGA).

SG   C2/c (15)

a = 7.8664 Å, b = 8.6919 Å, c = 10.3330 Å
α = 105.56°, β = 102.26°, γ = 113.59°
With the nearest neighbours (Å) after each atom.
Atoms (fractional coordinates):
1 Rb 0.0715 0.2330 0.0956  2 O 2.85-2.90
2 Rb 0.2072 0.9449 0.3277  1 O 2.75
3 Rb 0.5241 0.8626 0.0956  2 O 2.85-2.90
4 Rb 0.6204 0.3828 0.3277  1 O 2.75
5 Rb 0.3796 0.6172 0.6723  1 O 2.75
6 Rb 0.4759 0.1374 0.9044  2 O 2.85-2.90
7 Rb 0.7928 0.0551 0.6723  1 O 2.75
8 Rb 0.9285 0.7670 0.9044  2 O 2.85-2.90
9 Br 0.5693 0.3193 0.6387  6 Rb 3.45-3.58
10 Br 0.4307 0.6807 0.3613  6 Rb 3.45-3.58
11 O 0.6910 0.9410 0.8819  6 Rb 2.75-2.90
12 O 0.3090 0.0590 0.1181  6 Rb 2.75-2.90

---

Most stable pick: ii. Distance to second place: 0.030 eV/atom.

---

i | Entry from Alexandria: RbBr2O2 after structural relaxation (PBE-GGA).

SG   I4/mmm (139)

a = 4.7102 Å, b = 4.7102 Å, c = 6.5100 Å
α = 68.79°, β = 68.79°, γ = 90.00°
With the nearest neighbours (Å) after each atom.
Atoms (fractional coordinates):
1 O 0.7500 0.2500 0.5000  4 Br 2.38
2 O 0.2500 0.7500 0.5000  4 Br 2.38
3 Br 0.2809 0.2809 0.4382  4 O 2.38
4 Br 0.7191 0.7191 0.5618  4 O 2.38
5 Rb 0.0000 0.0000 0.0000  2 Br 3.14

---

ii | Entry from Alexandria: RbBr2O2 after structural relaxation (PBE-GGA).

SG   P4/mbm (127)

a = 8.3307 Å, b = 8.3307 Å, c = 3.8819 Å
α = 90.00°, β = 90.00°, γ = 90.00°
With the nearest neighbours (Å) after each atom.
Atoms (fractional coordinates):
1 O 0.2187 0.7187 0.0000  2 Br 2.03
2 O 0.7187 0.7813 0.0000  2 Br 2.03
3 O 0.7813 0.2813 0.0000  2 Br 2.03
4 O 0.2813 0.2187 0.0000  2 Br 2.03
5 Br 0.1669 0.6669 0.5000  2 O 2.03
6 Br 0.6669 0.8331 0.5000  2 O 2.03
7 Br 0.8331 0.3331 0.5000  2 O 2.03
8 Br 0.3331 0.1669 0.5000  2 O 2.03
9 Rb 0.0000 0.0000 0.0000  4 O 2.97
10 Rb 0.5000 0.5000 0.0000  4 O 2.97

---

Most stable pick: ii. Distance to second place: 0.351 eV/atom.

---

i | Entry from Alexandria: Rb7Br3O2 after structural relaxation (PBE-GGA).

SG   Cmmm (65)

a = 5.4707 Å, b = 5.6300 Å, c = 14.2813 Å
α = 101.37°, β = 90.00°, γ = 90.00°
With the nearest neighbours (Å) after each atom.
Atoms (fractional coordinates):
1 Rb 0.0000 0.4021 0.8043  2 O 2.82
2 Rb 0.0000 0.8054 0.6108  1 O 2.62
3 Rb 0.0000 0.0000 0.0000  2 O 2.83
4 Rb 0.0000 0.5979 0.1957  2 O 2.82
5 Rb 0.5000 0.0989 0.1978  2 O 2.74
6 Rb 0.5000 0.9011 0.8022  2 O 2.74
7 Rb 0.0000 0.1946 0.3892  1 O 2.62
8 Br 0.5000 0.5000 0.0000  12 Rb 3.87-3.95
9 Br 0.5000 0.6846 0.3693  8 Rb 3.66-3.94
10 Br 0.5000 0.3154 0.6307  8 Rb 3.66-3.94
11 O 0.0000 0.8990 0.7980  6 Rb 2.62-2.83
12 O 0.0000 0.1010 0.2020  6 Rb 2.62-2.83

---

ii | Entry from Alexandria: Rb7Br3O2 after structural relaxation (PBE-GGA).

SG   I4/mmm (139)

a = 5.5580 Å, b = 5.5580 Å, c = 14.7932 Å
α = 100.83°, β = 100.83°, γ = 90.00°
With the nearest neighbours (Å) after each atom.
Atoms (fractional coordinates):
1 Rb 0.0000 0.0000 0.0000  2 O 2.82
2 Rb 0.9035 0.4035 0.8070  2 O 2.78
3 Rb 0.4035 0.9035 0.8070  2 O 2.78
4 Rb 0.0965 0.5965 0.1930  2 O 2.78
5 Rb 0.5965 0.0965 0.1930  2 O 2.78
6 Rb 0.1927 0.1927 0.3853  1 O 2.67
7 Rb 0.8073 0.8073 0.6147  1 O 2.67
8 Br 0.3177 0.3177 0.6354  9 Rb 3.57-3.94
9 Br 0.6823 0.6823 0.3646  9 Rb 3.57-3.94
10 Br 0.5000 0.5000 0.0000  12 Rb 3.91-3.93
11 O 0.0990 0.0990 0.1980  6 Rb 2.67-2.82
12 O 0.9010 0.9010 0.8020  6 Rb 2.67-2.82

---

Most stable pick: ii. Distance to second place: 0.020 eV/atom.

---

i | Entry from Alexandria: RbBr2O after structural relaxation (PBE-GGA).

SG   R-3m (166)

a = 9.1223 Å, b = 9.1223 Å, c = 9.1223 Å
α = 28.58°, β = 28.58°, γ = 28.58°
With the nearest neighbours (Å) after each atom.
Atoms (fractional coordinates):
1 O 0.5000 0.5000 0.5000  6 Br 2.89
2 Br 0.8818 0.8818 0.8818  3 O 2.89, 1 Rb 3.10
3 Br 0.1182 0.1182 0.1182  3 O 2.89, 1 Rb 3.10
4 Rb 0.0000 0.0000 0.0000  2 Br 3.10

---

ii | Entry from Alexandria: RbBr2O after structural relaxation (PBE-GGA).

SG   R-3m (166)

a = 7.2257 Å, b = 7.2257 Å, c = 7.2257 Å
α = 47.23°, β = 47.23°, γ = 47.23°
With the nearest neighbours (Å) after each atom.
Atoms (fractional coordinates):
1 O 0.0000 0.0000 0.0000  2 Br 2.10
2 Br 0.8906 0.8906 0.8906  1 O 2.10
3 Br 0.1094 0.1094 0.1094  1 O 2.10
4 Rb 0.5000 0.5000 0.5000  6 Br 3.52

---

Most stable pick: ii. Distance to second place: 0.613 eV/atom.

---

i | Entry from Alexandria: Rb2BrO after structural relaxation (PBE-GGA).

SG   I-42d (122)

a = 8.2331 Å, b = 8.2331 Å, c = 7.2828 Å
α = 55.58°, β = 55.58°, γ = 90.00°
With the nearest neighbours (Å) after each atom.
Atoms (fractional coordinates):
1 O 0.5000 0.5000 0.0000  4 Rb 2.81
2 O 0.2500 0.7500 0.5000  4 Rb 2.81
3 Br 0.0000 0.0000 0.0000  4 Rb 3.45
4 Br 0.7500 0.2500 0.5000  4 Rb 3.45
5 Rb 0.5661 0.1250 0.2500  2 O 2.81
6 Rb 0.1839 0.6250 0.2500  2 O 2.81
7 Rb 0.3750 0.4339 0.7500  2 O 2.81
8 Rb 0.8750 0.8161 0.7500  2 O 2.81

---

ii | Entry from Alexandria: Rb2BrO after structural relaxation (PBE-GGA).

SG   Fm-3m (225)

a = 5.5850 Å, b = 5.5850 Å, c = 5.5850 Å
α = 60.00°, β = 60.00°, γ = 60.00°
With the nearest neighbours (Å) after each atom.
Atoms (fractional coordinates):
1 O 0.0000 0.0000 0.0000  8 Rb 3.42
2 Br 0.5000 0.5000 0.5000  8 Rb 3.42
3 Rb 0.2500 0.2500 0.2500  4 Br 3.42, 4 O 3.42
4 Rb 0.7500 0.7500 0.7500  4 O 3.42, 4 Br 3.42

---

Most stable pick: i. Distance to second place: 0.130 eV/atom.

---

i | Entry from Alexandria: ReSe2BrO after structural relaxation (PBE-GGA).

SG   P4/mmm (123)

a = 4.1365 Å, b = 4.1365 Å, c = 5.9401 Å
α = 90.00°, β = 90.00°, γ = 90.00°
With the nearest neighbours (Å) after each atom.
Atoms (fractional coordinates):
1 O 0.0000 0.0000 0.0000  4 Se 2.07
2 Re 0.5000 0.5000 0.5000  4 Br 2.92
3 Se 0.0000 0.5000 0.0000  2 O 2.07
4 Se 0.5000 0.0000 0.0000  2 O 2.07
5 Br 0.0000 0.0000 0.5000  4 Re 2.92, 2 O 2.97

---

ii | Entry from Alexandria: ReSe2BrO after structural relaxation (PBE-GGA).

SG   P4/mmm (123)

a = 4.7815 Å, b = 4.7815 Å, c = 5.1922 Å
α = 90.00°, β = 90.00°, γ = 90.00°
With the nearest neighbours (Å) after each atom.
Atoms (fractional coordinates):
1 O 0.5000 0.5000 0.5000  4 Br 3.38, 8 Se 3.53
2 Re 0.0000 0.0000 0.0000  4 Se 2.39, 2 Br 2.60
3 Se 0.0000 0.5000 0.0000  2 Re 2.39
4 Se 0.5000 0.0000 0.0000  2 Re 2.39
5 Br 0.0000 0.0000 0.5000  2 Re 2.60

---

Most stable pick: ii. Distance to second place: 0.258 eV/atom.

---

i | Entry from Alexandria: ReSeBr2O after structural relaxation (PBE-GGA).

SG   P4/mmm (123)

a = 5.0470 Å, b = 5.0470 Å, c = 4.7397 Å
α = 90.00°, β = 90.00°, γ = 90.00°
With the nearest neighbours (Å) after each atom.
Atoms (fractional coordinates):
1 O 0.5000 0.5000 0.5000  8 Br 3.46, 4 Se 3.57
2 Re 0.0000 0.0000 0.0000  2 Se 2.37, 4 Br 2.52
3 Se 0.0000 0.0000 0.5000  2 Re 2.37
4 Br 0.0000 0.5000 0.0000  2 Re 2.52
5 Br 0.5000 0.0000 0.0000  2 Re 2.52

---

ii | Entry from Alexandria: ReSeBr2O after structural relaxation (PBE-GGA).

SG   P4/mmm (123)

a = 4.5664 Å, b = 4.5664 Å, c = 4.3274 Å
α = 90.00°, β = 90.00°, γ = 90.00°
With the nearest neighbours (Å) after each atom.
Atoms (fractional coordinates):
1 O 0.0000 0.0000 0.0000  2 Se 2.16, 4 Br 2.28
2 Re 0.5000 0.5000 0.5000  8 Br 3.15, 4 Se 3.23
3 Se 0.0000 0.0000 0.5000  2 O 2.16
4 Br 0.0000 0.5000 0.0000  2 O 2.28
5 Br 0.5000 0.0000 0.0000  2 O 2.28

---

Most stable pick: i. Distance to second place: 0.596 eV/atom.

---

i | Entry from Alexandria: RhBr3O after structural relaxation (PBE-GGA).

SG   Pm-3m (221)

a = 5.0592 Å, b = 5.0592 Å, c = 5.0592 Å
α = 90.00°, β = 90.00°, γ = 90.00°
With the nearest neighbours (Å) after each atom.
Atoms (fractional coordinates):
1 Rh 0.0000 0.0000 0.0000  6 Br 2.53
2 O 0.5000 0.5000 0.5000  12 Br 3.58
3 Br 0.0000 0.5000 0.0000  2 Rh 2.53
4 Br 0.0000 0.0000 0.5000  2 Rh 2.53
5 Br 0.5000 0.0000 0.0000  2 Rh 2.53

---

ii | Entry from Alexandria: RhBr3O after structural relaxation (PBE-GGA).

SG   Pm-3m (221)

a = 4.7236 Å, b = 4.7236 Å, c = 4.7236 Å
α = 90.00°, β = 90.00°, γ = 90.00°
With the nearest neighbours (Å) after each atom.
Atoms (fractional coordinates):
1 Rh 0.5000 0.5000 0.5000  12 Br 3.34
2 O 0.0000 0.0000 0.0000  6 Br 2.36
3 Br 0.0000 0.5000 0.0000  2 O 2.36
4 Br 0.0000 0.0000 0.5000  2 O 2.36
5 Br 0.5000 0.0000 0.0000  2 O 2.36

---

Most stable pick: i. Distance to second place: 0.351 eV/atom.